Version w
The following is a PBE calculation of a relaxed structure of YRuW3, from Alexandria.

The space group is Pm-3m (No. 221) and the conventional cell measures 4.7143, 4.7143 and 4.7143 Å, with angles of 90.00, 90.00 and 90.00 degrees. Symmetry generates all atoms from Y at (0.0000, 0.0000, 0.0000), Ru at (0.5000, 0.5000, 0.5000) and W at (0.0000, 0.0000, 0.5000).

=====

Version x
The following is a PBE calculation of a relaxed structure of YRuW3, from Alexandria.

The space group is Pm-3m (No. 221) and the conventional cell measures 4.7709, 4.7709 and 4.7709 Å, with angles of 90.00, 90.00 and 90.00 degrees. Symmetry generates all atoms from Y at (0.0000, 0.0000, 0.0000), Ru at (0.5000, 0.5000, 0.5000) and W at (0.0000, 0.5000, 0.5000).

=====

What are the relative energies? In meV per atom: version w 1906; version x 0.

=====

Version w
The following is a PBE calculation of a relaxed structure of ZnRu3W, from Alexandria.

The space group is Pm-3m (No. 221) and the conventional cell measures 4.6830, 4.6830 and 4.6830 Å, with angles of 90.00, 90.00 and 90.00 degrees. Symmetry generates all atoms from Zn at (0.0000, 0.0000, 0.0000), Ru at (0.0000, 0.5000, 0.5000) and W at (0.5000, 0.5000, 0.5000).

=====

Version x
The following is a PBE calculation of a relaxed structure of ZnRu3W, from Alexandria.

The space group is Pm-3m (No. 221) and the conventional cell measures 4.3770, 4.3770 and 4.3770 Å, with angles of 90.00, 90.00 and 90.00 degrees. Symmetry generates all atoms from Zn at (0.0000, 0.0000, 0.0000), Ru at (0.0000, 0.0000, 0.5000) and W at (0.5000, 0.5000, 0.5000).

=====

What are the relative energies? In meV per atom: version w 0; version x 44.